1.
Below is an optimized crystal structure of NdAl5Cu3, with properties calculated at the PBE level.

Geometry as POSCAR:
```
NdAl5Cu3
1.0
-2.338 2.998 1.042
-3.610 -5.505 0.282
3.339 -1.574 12.015
Al Cu Nd
10 6 2
Direct
0.000 0.000 0.000
0.557 0.113 0.649
0.557 0.113 0.851
0.200 0.400 0.934
0.443 0.887 0.149
0.000 0.000 0.500
0.800 0.600 0.066
0.443 0.887 0.351
0.800 0.600 0.434
0.200 0.400 0.566
0.611 0.222 0.454
0.389 0.778 0.546
0.389 0.778 0.954
0.870 0.740 0.250
0.130 0.260 0.750
0.611 0.222 0.046
0.844 0.687 0.750
0.156 0.313 0.250
```

Summary:
formation energy = -0.296 eV per atom
space group = Cmcm (63)

***

2.
Below is an optimized crystal structure of Nd4Al3Cu, with properties calculated at the PBE level.

Geometry as POSCAR:
```
Nd4Al3Cu
1.0
3.570 0.000 0.000
0.000 3.570 0.000
0.000 0.000 15.820
Nd Cu Al
4 1 3
Direct
0.000 0.000 0.884
0.000 0.000 0.629
0.000 0.000 0.371
0.000 0.000 0.116
0.500 0.500 0.000
0.500 0.500 0.500
0.500 0.500 0.759
0.500 0.500 0.241
```

Summary:
formation energy = -0.294 eV per atom
space group = P4/mmm (123)
relative energy among the computed polymorphs = 0.0 meV per atom

***

3.
Below is an optimized crystal structure of Nd2AlCu3, with properties calculated at the PBE level.

Geometry as POSCAR:
```
Nd2AlCu3
1.0
-2.288 1.992 -2.521
0.143 -3.191 -2.650
-5.239 -2.443 5.909
Al Nd Cu
1 2 3
Direct
0.461 0.961 0.922
0.867 0.367 0.734
0.129 0.129 0.258
0.704 0.704 0.407
0.543 0.543 0.086
0.296 0.796 0.593
```

Summary:
formation energy = -0.238 eV per atom
space group = Imm2 (44)
relative energy among the computed polymorphs = 0.0 meV per atom

***

4.
Below is an optimized crystal structure of NdAl2Cu2, with properties calculated at the PBE level.

Geometry as POSCAR:
```
NdAl2Cu2
1.0
3.848 0.000 -1.438
-0.537 3.810 -1.438
0.101 0.116 6.138
Al Cu Nd
2 2 1
Direct
0.250 0.750 0.500
0.750 0.250 0.500
0.385 0.385 0.769
0.615 0.615 0.231
0.000 0.000 0.000
```

Summary:
formation energy = -0.408 eV per atom
space group = I4/mmm (139)

***

5.
Below is an optimized crystal structure of NdAlCu, with properties calculated at the PBE level.

Geometry as POSCAR:
```
NdAlCu
1.0
-7.104 -0.208 -1.406
2.643 -3.415 5.817
-0.542 3.390 2.237
Nd Cu Al
3 3 3
Direct
0.583 0.000 0.500
0.417 0.417 0.500
0.000 0.583 0.500
0.667 0.333 0.000
0.333 0.667 0.000
0.000 0.000 0.500
0.229 0.000 0.000
0.771 0.771 0.000
0.000 0.229 0.000
```

Summary:
formation energy = -0.381 eV per atom
space group = P-62m (189)

***

6.
Below is an optimized crystal structure of Nd3AlCu4, with properties calculated at the PBE level.

Geometry as POSCAR:
```
Nd3AlCu4
1.0
-1.808 -3.728 -0.148
0.160 -0.329 6.314
-5.499 5.083 -2.763
Nd Cu Al
3 4 1
Direct
0.813 0.813 0.625
0.000 0.500 0.000
0.187 0.187 0.375
0.380 0.577 0.760
0.380 0.183 0.760
0.620 0.423 0.240
0.620 0.817 0.240
0.500 0.000 0.000
```

Summary:
formation energy = -0.075 eV per atom
space group = Immm (71)

***

7.
Below is an optimized crystal structure of Nd3AlCu2, with properties calculated at the PBE level.

Geometry as POSCAR:
```
Nd3AlCu2
1.0
6.873 -0.427 -0.333
1.817 6.642 -0.333
1.817 1.300 6.522
Cu Al Nd
4 2 6
Direct
0.166 0.166 0.166
0.334 0.334 0.334
0.834 0.834 0.834
0.666 0.666 0.666
0.500 0.500 0.500
0.000 0.000 0.000
0.076 0.750 0.424
0.424 0.076 0.750
0.750 0.424 0.076
0.924 0.250 0.576
0.576 0.924 0.250
0.250 0.576 0.924
```

Summary:
formation energy = -0.115 eV per atom
space group = R-3c (167)

***

8.
Below is an optimized crystal structure of NdAl4Cu, with properties calculated at the PBE level.

Geometry as POSCAR:
```
NdAl4Cu
1.0
6.220 0.000 0.000
0.000 6.220 0.000
0.000 0.000 7.000
Nd Al Cu
2 8 2
Direct
0.000 0.500 0.500
0.500 0.000 0.500
0.346 0.846 0.000
0.154 0.346 0.000
0.000 0.000 0.676
0.500 0.500 0.676
0.846 0.654 0.000
0.000 0.000 0.324
0.654 0.154 0.000
0.500 0.500 0.324
0.500 0.500 0.000
0.000 0.000 0.000
```

Summary:
formation energy = 0.132 eV per atom
space group = P4/mbm (127)

***

9.
Below is an optimized crystal structure of Nd2AlCu6, with properties calculated at the PBE level.

Geometry as POSCAR:
```
Nd2AlCu6
1.0
5.729 -0.029 -0.017
0.031 5.588 0.007
0.031 2.790 4.841
Nd Cu Al
2 6 1
Direct
0.157 0.333 0.333
0.843 0.667 0.667
0.658 0.179 0.642
0.342 0.821 0.821
0.342 0.358 0.821
0.658 0.179 0.179
0.342 0.821 0.358
0.658 0.642 0.179
0.000 0.000 0.000
```

Summary:
formation energy = -0.190 eV per atom
space group = P-3m1 (164)

***

10.
Below is an optimized crystal structure of Nd3Al4Cu2, with properties calculated at the PBE level.

Geometry as POSCAR:
```
Nd3Al4Cu2
1.0
-4.038 -0.339 1.978
3.768 -4.019 1.864
1.823 6.785 4.883
Nd Al Cu
3 4 2
Direct
0.375 0.751 0.309
0.000 0.000 0.000
0.625 0.249 0.691
0.721 0.443 0.075
0.279 0.557 0.925
0.104 0.208 0.421
0.896 0.792 0.579
0.328 0.656 0.658
0.672 0.344 0.342
```

Summary:
formation energy = -0.367 eV per atom
space group = C2/m (12)

***

11.
Below is an optimized crystal structure of Nd4AlCu, with properties calculated at the PBE level.

Geometry as POSCAR:
```
Nd4AlCu
1.0
-3.745 -3.357 2.879
7.112 0.355 4.735
-4.215 7.218 -0.434
Cu Al Nd
2 2 8
Direct
0.253 0.003 0.006
0.747 0.997 0.994
0.369 0.619 0.238
0.631 0.381 0.762
0.769 0.693 0.620
0.714 0.369 0.152
0.231 0.307 0.380
0.062 0.217 0.848
0.649 0.073 0.380
0.351 0.927 0.620
0.938 0.783 0.152
0.286 0.631 0.848
```

Summary:
formation energy = -0.113 eV per atom
space group = C2/c (15)